--- 1 ---
The following is a DFT calculation (PBE-GGA) of a geometry-optimized MgTa3Be structure.

Unit cell a=4.682 b=4.682 c=4.682 alpha=90.00 beta=90.00 gamma=90.00
Positions (direct):
Ta  0.500  0.000  0.000
Ta  0.000  0.000  0.500
Ta  0.000  0.500  0.000
Be  0.500  0.500  0.500
Mg  0.000  0.000  0.000

Output
- spin magnetization (Bohr magnetons per cell) = 0.0

---

--- 2 ---
The following is a DFT calculation (PBE-GGA) of a geometry-optimized MgTa3Be structure.

Unit cell a=4.470 b=4.470 c=4.470 alpha=90.00 beta=90.00 gamma=90.00
Positions (direct):
Mg  0.500  0.500  0.500
Ta  0.500  0.000  0.000
Ta  0.000  0.000  0.500
Ta  0.000  0.500  0.000
Be  0.000  0.000  0.000

Output
- spin magnetization (Bohr magnetons per cell) = 0.0

---

Stability summary - winner: 2; margin: 1606 meV/atom.

---

--- 1 ---
The following is a DFT calculation (PBE-GGA) of a geometry-optimized Mg2BeTc2 structure.

Unit cell a=7.989 b=7.989 c=7.989 alpha=154.96 beta=154.96 gamma=35.70
Positions (direct):
Tc  0.250  0.750  0.500
Tc  0.750  0.250  0.500
Mg  0.597  0.597  0.000
Mg  0.403  0.403  0.000
Be  0.000  0.000  0.000

Output
- spin magnetization (Bohr magnetons per cell) = 0.0

---

--- 2 ---
The following is a DFT calculation (PBE-GGA) of a geometry-optimized Mg2BeTc2 structure.

Unit cell a=3.511 b=3.511 c=7.130 alpha=75.74 beta=75.74 gamma=90.00
Positions (direct):
Tc  0.584  0.584  0.833
Tc  0.416  0.416  0.167
Mg  0.750  0.250  0.500
Mg  0.250  0.750  0.500
Be  0.000  0.000  0.000

Output
- spin magnetization (Bohr magnetons per cell) = 0.0

---

--- 3 ---
The following is a DFT calculation (PBE-GGA) of a geometry-optimized Mg2BeTc2 structure.

Unit cell a=5.965 b=5.965 c=4.499 alpha=90.00 beta=90.00 gamma=90.00
Positions (direct):
Be  0.000  0.000  0.000
Be  0.500  0.500  0.000
Tc  0.642  0.142  0.000
Tc  0.142  0.358  0.000
Tc  0.358  0.858  0.000
Tc  0.858  0.642  0.000
Mg  0.831  0.331  0.500
Mg  0.169  0.669  0.500
Mg  0.331  0.169  0.500
Mg  0.669  0.831  0.500

Output
- spin magnetization (Bohr magnetons per cell) = 0.0

---

Stability summary - winner: 3; margin: 412 meV/atom.

---

--- 1 ---
The following is a DFT calculation (PBE-GGA) of a geometry-optimized MgBe3Tc structure.

Unit cell a=4.109 b=4.109 c=4.109 alpha=90.00 beta=90.00 gamma=90.00
Site moments in Bohr magnetons follow the coordinates.
Positions (direct):
Be  0.000  0.500  0.000  -0.01
Be  0.000  0.000  0.500  -0.03
Be  0.500  0.000  0.000  -0.01
Mg  0.000  0.000  0.000  0.01
Tc  0.500  0.500  0.500  1.81

Output
- spin magnetization (Bohr magnetons per cell) = 1.9

---

--- 2 ---
The following is a DFT calculation (PBE-GGA) of a geometry-optimized MgBe3Tc structure.

Unit cell a=4.232 b=4.232 c=4.232 alpha=90.00 beta=90.00 gamma=90.00
Positions (direct):
Tc  0.000  0.000  0.000
Be  0.500  0.000  0.000
Be  0.000  0.500  0.000
Be  0.000  0.000  0.500
Mg  0.500  0.500  0.500

Output
- spin magnetization (Bohr magnetons per cell) = 0.0

---

Stability summary - winner: 2; margin: 955 meV/atom.